[1]
# CeSm2TmTe5 GGA-PBE optimized geometry
# * space-group type: P4/mmm
# * E_form (uncorrected): -0.795 eV per atom
data_CeSm2TmTe5
_chemical_formula_sum 'Ce1 Sm2 Tm1 Te5'
_symmetry_space_group_name_H-M 'P 1'
_symmetry_Int_Tables_number 1
_symmetry_space_group_name_Hall 'P 1'
_cell_length_a 5.491
_cell_length_b 5.491
_cell_length_c 11.854
_cell_angle_alpha 90.00
_cell_angle_beta 90.00
_cell_angle_gamma 90.00
loop_
_atom_site_label
_atom_site_type_symbol
_atom_site_fract_x
_atom_site_fract_y
_atom_site_fract_z
_atom_site_occupancy
Te1 Te 0.000 0.500 0.500 1
Te2 Te 0.500 0.500 0.000 1
Te3 Te 0.000 0.000 0.747 1
Ce1 Ce 0.000 0.000 0.000 1
Tm1 Tm 0.000 0.000 0.500 1
Te4 Te 0.000 0.000 0.253 1
Sm1 Sm 0.500 0.500 0.347 1
Sm2 Sm 0.500 0.500 0.653 1
Te5 Te 0.500 0.000 0.500 1

[2]
# Ce3SmTm2Te6 GGA-PBE optimized geometry
# * space-group type: C2/m
# * E_form (uncorrected): -1.318 eV per atom
data_Ce3SmTm2Te6
_chemical_formula_sum 'Ce3 Sm1 Tm2 Te6'
_symmetry_space_group_name_H-M 'P 1'
_symmetry_Int_Tables_number 1
_symmetry_space_group_name_Hall 'P 1'
_cell_length_a 7.592
_cell_length_b 7.592
_cell_length_c 7.765
_cell_angle_alpha 99.36
_cell_angle_beta 99.36
_cell_angle_gamma 120.07
loop_
_atom_site_label
_atom_site_type_symbol
_atom_site_fract_x
_atom_site_fract_y
_atom_site_fract_z
_atom_site_occupancy
Te1 Te 0.736 0.736 0.234 1
Te2 Te 0.422 0.080 0.240 1
Te3 Te 0.920 0.578 0.760 1
Te4 Te 0.080 0.422 0.240 1
Te5 Te 0.578 0.920 0.760 1
Ce1 Ce 0.161 0.839 0.500 1
Ce2 Ce 0.500 0.500 0.500 1
Sm1 Sm 0.000 0.000 0.000 1
Tm1 Tm 0.668 0.332 0.000 1
Te6 Te 0.264 0.264 0.766 1
Tm2 Tm 0.332 0.668 0.000 1
Ce3 Ce 0.839 0.161 0.500 1

[3]
# Ce2SmTmTe5 GGA-PBE optimized geometry
# * space-group type: P4/mmm
# * E_form (uncorrected): -0.858 eV per atom
data_Ce2SmTmTe5
_chemical_formula_sum 'Ce2 Sm1 Tm1 Te5'
_symmetry_space_group_name_H-M 'P 1'
_symmetry_Int_Tables_number 1
_symmetry_space_group_name_Hall 'P 1'
_cell_length_a 5.458
_cell_length_b 5.458
_cell_length_c 11.669
_cell_angle_alpha 90.00
_cell_angle_beta 90.00
_cell_angle_gamma 90.00
loop_
_atom_site_label
_atom_site_type_symbol
_atom_site_fract_x
_atom_site_fract_y
_atom_site_fract_z
_atom_site_occupancy
Te1 Te 0.000 0.000 0.249 1
Ce1 Ce 0.500 0.500 0.681 1
Sm1 Sm 0.000 0.000 0.000 1
Te2 Te 0.500 0.000 0.500 1
Te3 Te 0.000 0.000 0.751 1
Te4 Te 0.500 0.500 0.000 1
Ce2 Ce 0.500 0.500 0.319 1
Tm1 Tm 0.000 0.000 0.500 1
Te5 Te 0.000 0.500 0.500 1

What did the second record say?
# Ce3SmTm2Te6 GGA-PBE optimized geometry
# * space-group type: C2/m
# * E_form (uncorrected): -1.318 eV per atom
data_Ce3SmTm2Te6
_chemical_formula_sum 'Ce3 Sm1 Tm2 Te6'
_symmetry_space_group_name_H-M 'P 1'
_symmetry_Int_Tables_number 1
_symmetry_space_group_name_Hall 'P 1'
_cell_length_a 7.592
_cell_length_b 7.592
_cell_length_c 7.765
_cell_angle_alpha 99.36
_cell_angle_beta 99.36
_cell_angle_gamma 120.07
loop_
_atom_site_label
_atom_site_type_symbol
_atom_site_fract_x
_atom_site_fract_y
_atom_site_fract_z
_atom_site_occupancy
Te1 Te 0.736 0.736 0.234 1
Te2 Te 0.422 0.080 0.240 1
Te3 Te 0.920 0.578 0.760 1
Te4 Te 0.080 0.422 0.240 1
Te5 Te 0.578 0.920 0.760 1
Ce1 Ce 0.161 0.839 0.500 1
Ce2 Ce 0.500 0.500 0.500 1
Sm1 Sm 0.000 0.000 0.000 1
Tm1 Tm 0.668 0.332 0.000 1
Te6 Te 0.264 0.264 0.766 1
Tm2 Tm 0.332 0.668 0.000 1
Ce3 Ce 0.839 0.161 0.500 1